(1)
# Ba2AgP (GGA-PBE, relaxed)
data_Ba2AgP
_chemical_formula_sum 'Ba4 Ag2 P2'
_cell_length_a 4.409
_cell_length_b 4.578
_cell_length_c 14.211
_cell_angle_alpha 90.00
_cell_angle_beta 90.00
_cell_angle_gamma 90.00
_symmetry_space_group_name_H-M 'I m m 2'
_symmetry_Int_Tables_number 44
_symmetry_space_group_name_Hall 'I 2 -2'
loop_
_atom_site_label
_atom_site_type_symbol
_atom_site_fract_x
_atom_site_fract_y
_atom_site_fract_z
Ba1 Ba 0.000 0.000 0.000
Ba2 Ba 0.000 0.500 0.252
Ag1 Ag 0.000 0.000 0.438
P1 P 0.000 0.500 0.827
# Total magnetic moment   0.000 μB per formula unit
# DFT total energy   -3.5178 eV/atom
# Energy of formation from the pure elements   -0.49 eV/atom

(2)
# RhPbO2F (GGA-PBE, relaxed)
data_RhPbO2F
_chemical_formula_sum 'Rh1 Pb1 O2 F1'
_cell_length_a 4.299
_cell_length_b 4.299
_cell_length_c 4.376
_cell_angle_alpha 90.00
_cell_angle_beta 90.00
_cell_angle_gamma 90.00
_symmetry_space_group_name_H-M 'P 4/m m m'
_symmetry_Int_Tables_number 123
_symmetry_space_group_name_Hall '-P 4 2'
loop_
_atom_site_label
_atom_site_type_symbol
_atom_site_fract_x
_atom_site_fract_y
_atom_site_fract_z
Rh1 Rh 0.000 0.000 0.000
Pb1 Pb 0.500 0.500 0.500
O1 O 0.000 0.500 0.500
F1 F 0.500 0.500 0.000
# Total magnetic moment   2.350 μB per formula unit
# DFT total energy   -4.7061 eV/atom
# Formation energy from raw total energies   -0.137 eV/atom

(3)
# K2Y2Bi (GGA-PBE, relaxed)
data_K2Y2Bi
_chemical_formula_sum 'K4 Y4 Bi2'
_cell_length_a 4.453
_cell_length_b 4.453
_cell_length_c 23.002
_cell_angle_alpha 90.00
_cell_angle_beta 90.00
_cell_angle_gamma 90.00
_symmetry_space_group_name_H-M 'I 4/m m m'
_symmetry_Int_Tables_number 139
_symmetry_space_group_name_Hall '-I 4 2'
loop_
_atom_site_label
_atom_site_type_symbol
_atom_site_fract_x
_atom_site_fract_y
_atom_site_fract_z
K1 K 0.000 0.000 0.089
Y1 Y 0.000 0.500 0.250
Bi1 Bi 0.000 0.000 0.500
# Total magnetic moment   0.991 μB per formula unit
# DFT total energy   -3.3740 eV/atom
# Energy of formation from the pure elements   0.43 eV/atom
# Energy relative to the lowest polymorph listed for this composition   0.00 kcal/mol of atoms

(4)
# PaCo5Si (GGA-PBE, relaxed)
data_PaCo5Si
_chemical_formula_sum 'Pa1 Co5 Si1'
_cell_length_a 3.811
_cell_length_b 3.811
_cell_length_c 6.329
_cell_angle_alpha 90.00
_cell_angle_beta 90.00
_cell_angle_gamma 90.00
_symmetry_space_group_name_H-M 'P 4/m m m'
_symmetry_Int_Tables_number 123
_symmetry_space_group_name_Hall '-P 4 2'
loop_
_atom_site_label
_atom_site_type_symbol
_atom_site_fract_x
_atom_site_fract_y
_atom_site_fract_z
Pa1 Pa 0.000 0.000 0.000
Co1 Co 0.000 0.500 0.295
Co2 Co 0.500 0.500 0.000
Si1 Si 0.500 0.500 0.500
# Total magnetic moment   2.630 μB per formula unit
# DFT total energy   -7.4270 eV/atom
# Formation energy from raw total energies   -0.220 eV/atom

(5)
# CaZrIn2 (GGA-PBE, relaxed)
data_CaZrIn2
_chemical_formula_sum 'Ca1 Zr1 In2'
_cell_length_a 3.274
_cell_length_b 3.274
_cell_length_c 9.167
_cell_angle_alpha 90.00
_cell_angle_beta 90.00
_cell_angle_gamma 90.00
_symmetry_space_group_name_H-M 'P 4/m m m'
_symmetry_Int_Tables_number 123
_symmetry_space_group_name_Hall '-P 4 2'
loop_
_atom_site_label
_atom_site_type_symbol
_atom_site_fract_x
_atom_site_fract_y
_atom_site_fract_z
Ca1 Ca 0.000 0.000 0.000
Zr1 Zr 0.000 0.000 0.500
In1 In 0.500 0.500 0.264
# Total magnetic moment   0.000 μB per formula unit
# DFT total energy   -4.3557 eV/atom
# Energy of formation from the pure elements   -0.35 eV/atom

(6)
# CaZnIO2 (GGA-PBE, relaxed)
data_CaZnIO2
_chemical_formula_sum 'Ca1 Zn1 I1 O2'
_cell_length_a 4.205
_cell_length_b 4.205
_cell_length_c 5.429
_cell_angle_alpha 90.00
_cell_angle_beta 90.00
_cell_angle_gamma 90.00
_symmetry_space_group_name_H-M 'P 4/m m m'
_symmetry_Int_Tables_number 123
_symmetry_space_group_name_Hall '-P 4 2'
loop_
_atom_site_label
_atom_site_type_symbol
_atom_site_fract_x
_atom_site_fract_y
_atom_site_fract_z
Ca1 Ca 0.000 0.000 0.000
Zn1 Zn 0.500 0.500 0.500
I1 I 0.500 0.500 0.000
O1 O 0.000 0.500 0.500
# Total magnetic moment   0.953 μB per formula unit
# DFT total energy   -3.7244 eV/atom
# Formation energy from raw total energies   -0.776 eV/atom
# Energy relative to the lowest polymorph listed for this composition   0.00 kcal/mol of atoms